Record 1
Compound: CuI3Cl
Source: Alexandria
Functional: PBE
Structure: optimized geometry

Output
**ΔE_f (raw)**: -0.11 eV per atom
**Offset from the most stable computed form**: 0.000 eV/atom
**SG**: P1, No. 1

Cell: 6.2683 7.2757 9.1535 Å, 90.04 103.03 90.02°
Fractional positions:
Cu: 0.0000 0.0000 0.0000
Cu: 0.4273 0.4999 0.4487
I: 0.0100 0.2179 0.7738
I: 0.4163 0.7186 0.6740
I: 0.4878 0.2719 0.2398
I: 0.6743 0.7775 0.4363
I: 0.7517 0.2771 0.0113
I: 0.9381 0.7718 0.2078
Cl: 0.1835 0.2942 0.4733
Cl: 0.2432 0.7943 0.9747

***

Record 2
Compound: SrFe2Re
Source: Alexandria
Functional: PBE
Structure: optimized geometry

Output
**Offset from the most stable computed form**: 0.608 eV/atom
**SG**: Immm, No. 71
**Formation energy from the elements**: 4.07 eV/f.u.

Cell: 3.0211 5.3287 9.3614 Å, 90.00 90.00 90.00°
Fractional positions:
Sr: 0.0000 0.0000 0.0000
Sr: 0.5000 0.5000 0.5000
Fe: 0.0000 0.5000 0.2048
Fe: 0.0000 0.5000 0.7952
Fe: 0.5000 0.0000 0.2952
Fe: 0.5000 0.0000 0.7048
Re: 0.0000 0.0000 0.5000
Re: 0.5000 0.5000 0.0000

***

Record 3
Compound: NaPrGa4
Source: Alexandria
Functional: PBE
Structure: optimized geometry

Output
**SG**: F-43m, No. 216
**Formation energy from the elements**: -2.02 eV/f.u.

Cell: 5.6262 5.6262 5.6262 Å, 60.00 60.00 60.00°
Fractional positions:
Na: 0.0000 0.0000 0.0000
Pr: 0.7500 0.7500 0.7500
Ga: 0.3754 0.3754 0.3754
Ga: 0.3754 0.3754 0.8738
Ga: 0.3754 0.8738 0.3754
Ga: 0.8738 0.3754 0.3754

***

Record 4
Compound: DyHfTe
Source: Alexandria
Functional: PBE
Structure: optimized geometry

Output
**ΔE_f (raw)**: -0.41 eV per atom
**SG**: P4/mmm, No. 123

Cell: 3.5506 3.5506 12.2061 Å, 90.00 90.00 90.00°
Fractional positions:
Dy: 0.0000 0.0000 0.1830
Dy: 0.0000 0.0000 0.8170
Hf: 0.0000 0.0000 0.5000
Hf: 0.5000 0.5000 0.0000
Te: 0.5000 0.5000 0.3590
Te: 0.5000 0.5000 0.6410

***

Record 5
Compound: K4SO
Source: Alexandria
Functional: PBE
Structure: optimized geometry

Output
**ΔE_f (raw)**: -0.97 eV per atom
**Offset from the most stable computed form**: 0.044 eV/atom
**SG**: C2/m, No. 12

Cell: 8.1696 8.1696 7.1200 Å, 106.42 106.42 52.61°
Fractional positions:
K: 0.1801 0.5925 0.4814
K: 0.2453 0.7547 0.0000
K: 0.3099 0.3099 0.9734
K: 0.4075 0.8199 0.5186
K: 0.5925 0.1801 0.4814
K: 0.6901 0.6901 0.0266
K: 0.7547 0.2453 0.0000
K: 0.8199 0.4075 0.5186
S: 0.1832 0.1832 0.2498
S: 0.8168 0.8168 0.7502
O: 0.4743 0.4743 0.2477
O: 0.5257 0.5257 0.7523

***

Record 6
Compound: PrEr2Au2
Source: Alexandria
Functional: PBE
Structure: optimized geometry

Output
**SG**: P4/mbm, No. 127
**Formation energy from the elements**: -3.40 eV/f.u.

Cell: 8.2591 8.2591 3.7763 Å, 90.00 90.00 90.00°
Fractional positions:
Pr: 0.0000 0.0000 0.0000
Pr: 0.5000 0.5000 0.0000
Er: 0.1607 0.3393 0.5000
Er: 0.3393 0.8393 0.5000
Er: 0.6607 0.1607 0.5000
Er: 0.8393 0.6607 0.5000
Au: 0.1303 0.6303 0.0000
Au: 0.3697 0.1303 0.0000
Au: 0.6303 0.8697 0.0000
Au: 0.8697 0.3697 0.0000

***

Record 7
Compound: LiHg3Br
Source: Alexandria
Functional: PBE
Structure: optimized geometry

Output
**ΔE_f (raw)**: -0.21 eV per atom
**Offset from the most stable computed form**: 0.000 eV/atom
**SG**: Pm-3m, No. 221

Cell: 5.3151 5.3151 5.3151 Å, 90.00 90.00 90.00°
Fractional positions:
Li: 0.0000 0.0000 0.0000
Hg: 0.0000 0.0000 0.5000
Hg: 0.0000 0.5000 0.0000
Hg: 0.5000 0.0000 0.0000
Br: 0.5000 0.5000 0.5000

***

Record 8
Compound: HgBi2Os
Source: Alexandria
Functional: PBE
Structure: optimized geometry

Output
**SG**: I-42d, No. 122
**Formation energy from the elements**: 3.01 eV/f.u.

Cell: 6.6361 6.6361 12.7921 Å, 90.00 90.00 90.00°
Fractional positions:
Hg: 0.0000 0.0000 0.0000
Hg: 0.0000 0.5000 0.2500
Hg: 0.5000 0.0000 0.7500
Hg: 0.5000 0.5000 0.5000
Bi: 0.1873 0.2500 0.6250
Bi: 0.2500 0.6873 0.8750
Bi: 0.2500 0.8127 0.3750
Bi: 0.3127 0.2500 0.1250
Bi: 0.6873 0.7500 0.1250
Bi: 0.7500 0.1873 0.3750
Bi: 0.7500 0.3127 0.8750
Bi: 0.8127 0.7500 0.6250
Os: 0.0000 0.0000 0.5000
Os: 0.0000 0.5000 0.7500
Os: 0.5000 0.0000 0.2500
Os: 0.5000 0.5000 0.0000

***

Record 9
Compound: BaZnPdPt
Source: Alexandria
Functional: PBE
Structure: optimized geometry

Output
**SG**: Cm, No. 8
**Formation energy from the elements**: -2.48 eV/f.u.

Cell: 7.7993 4.5011 6.0842 Å, 90.00 115.06 90.00°
Fractional positions:
Ba: 0.0000 0.0000 0.0000
Ba: 0.5000 0.5000 0.0000
Zn: 0.0078 0.5000 0.5225
Zn: 0.5078 0.0000 0.5225
Pd: 0.3065 0.5000 0.4181
Pd: 0.8065 0.0000 0.4181
Pt: 0.1964 0.0000 0.5884
Pt: 0.6964 0.5000 0.5884

***

Record 10
Compound: TiZn2Os
Source: Alexandria
Functional: PBE
Structure: optimized geometry

Output
**Offset from the most stable computed form**: 0.000 eV/atom
**SG**: Fm-3m, No. 225
**Formation energy from the elements**: -0.14 eV/f.u.

Cell: 6.1255 6.1255 6.1255 Å, 90.00 90.00 90.00°
Fractional positions:
Ti: 0.0000 0.0000 0.0000
Ti: 0.0000 0.5000 0.5000
Ti: 0.5000 0.0000 0.5000
Ti: 0.5000 0.5000 0.0000
Zn: 0.2500 0.2500 0.2500
Zn: 0.2500 0.2500 0.7500
Zn: 0.2500 0.7500 0.2500
Zn: 0.2500 0.7500 0.7500
Zn: 0.7500 0.2500 0.2500
Zn: 0.7500 0.2500 0.7500
Zn: 0.7500 0.7500 0.2500
Zn: 0.7500 0.7500 0.7500
Os: 0.0000 0.0000 0.5000
Os: 0.0000 0.5000 0.0000
Os: 0.5000 0.0000 0.0000
Os: 0.5000 0.5000 0.5000

***

Record 11
Compound: Cd2PRh
Source: Alexandria
Functional: PBE
Structure: optimized geometry

Output
**SG**: Amm2, No. 38
**Formation energy from the elements**: -0.65 eV/f.u.

Cell: 3.5575 4.1920 10.0664 Å, 90.00 90.00 90.00°
Fractional positions:
Cd: 0.0000 0.0000 0.0000
Cd: 0.0000 0.5000 0.5000
Cd: 0.5000 0.0000 0.3040
Cd: 0.5000 0.5000 0.8040
P: 0.0000 0.0000 0.7282
P: 0.0000 0.5000 0.2282
Rh: 0.5000 0.0000 0.5890
Rh: 0.5000 0.5000 0.0890

***

Record 12
Compound: Tb8CeY4
Source: Alexandria
Functional: PBE
Structure: optimized geometry

Output
**SG**: R-3m, No. 166
**Formation energy from the elements**: 6.87 eV/f.u.

Cell: 7.7866 7.7866 7.7866 Å, 89.91 89.91 89.91°
Fractional positions:
Tb: 0.2421 0.2421 0.2421
Tb: 0.2423 0.2423 0.7584
Tb: 0.2423 0.7584 0.2423
Tb: 0.2416 0.7577 0.7577
Tb: 0.7584 0.2423 0.2423
Tb: 0.7577 0.2416 0.7577
Tb: 0.7577 0.7577 0.2416
Tb: 0.7579 0.7579 0.7579
Ce: 0.5000 0.5000 0.5000
Y: 0.0000 0.0000 0.0000
Y: 0.0000 0.5000 0.5000
Y: 0.5000 0.0000 0.5000
Y: 0.5000 0.5000 0.0000